No. 1
{
  "formula": "LaZr2Ni",
  "functional": "PBE",
  "state": "optimized geometry",
  "cell": [[3.297, 0.000, 0.000], [0.000, 5.189, 0.000], [0.000, 0.000, 10.731]],
  "species": ["La", "La", "Zr", "Zr", "Zr", "Zr", "Ni", "Ni"],
  "fractional_positions": [[0.000, 0.000, 0.000], [0.500, 0.500, 0.500], [0.000, 0.500, 0.204], [0.000, 0.500, 0.796], [0.500, 0.000, 0.296], [0.500, 0.000, 0.704], [0.000, 0.000, 0.500], [0.500, 0.500, 0.000]],
  "space_group": "Immm, No. 71",
  "de_polymorph_mev_per_atom": 81,
  "formation_energy_ev_per_atom": -0.037
}

No. 2
{
  "formula": "LiSmZnGe2",
  "functional": "PBE",
  "state": "optimized geometry",
  "cell": [[4.149, 0.000, 0.000], [0.000, 4.149, 0.000], [0.000, 0.000, 11.045]],
  "species": ["Li", "Li", "Sm", "Sm", "Zn", "Zn", "Ge", "Ge", "Ge", "Ge"],
  "fractional_positions": [[0.000, 0.000, 0.000], [0.500, 0.500, 0.500], [0.000, 0.500, 0.750], [0.500, 0.000, 0.250], [0.000, 0.000, 0.500], [0.500, 0.500, 0.000], [0.000, 0.500, 0.137], [0.000, 0.500, 0.363], [0.500, 0.000, 0.637], [0.500, 0.000, 0.863]],
  "space_group": "I-4m2, No. 119",
  "formation_energy_ev_per_atom": -0.532
}